Entry 1:
Density functional theory data (PBE) for crystalline PaAl11Zn at its relaxed geometry.

The structure in CIF format:
```
data_PaAl11Zn
_chemical_formula_sum 'Pa2 Al22 Zn2'
_cell_length_a 5.3971
_cell_length_b 12.7891
_cell_length_c 6.9757
_cell_angle_alpha 90.00
_cell_angle_beta 111.57
_cell_angle_gamma 90.00
_space_group_name_H-M_alt 'C 1 2/m 1'
_space_group_IT_number 12
loop_
_space_group_symop_operation_xyz
'x,y,z'
'-x,-y,-z'
'-x,y,-z'
'x,-y,z'
'x+1/2,y+1/2,z'
'-x+1/2,-y+1/2,-z'
'-x+1/2,y+1/2,-z'
'x+1/2,-y+1/2,z'
loop_
_atom_site_label
_atom_site_type_symbol
_atom_site_fract_x
_atom_site_fract_y
_atom_site_fract_z
Pa1 Pa 0.0000 0.0000 0.0000
Al1 Al 0.0000 0.0000 0.5000
Al2 Al 0.1046 0.3936 0.2150
Al3 Al 0.1703 0.1775 0.3532
Al4 Al 0.2500 0.2500 0.0000
Zn1 Zn 0.0000 0.5000 0.5000
```

VASP energy (eV/atom): -4.05
ΔH_f (0 K) (kJ per mole of atoms): -5.7


Entry 2:
Density functional theory data (PBE) for crystalline NaLaNdGe at its relaxed geometry.

The structure in CIF format:
```
data_NaLaNdGe
_chemical_formula_sum 'Na4 La4 Nd4 Ge4'
_cell_length_a 7.5913
_cell_length_b 7.5913
_cell_length_c 7.5913
_cell_angle_alpha 90.00
_cell_angle_beta 90.00
_cell_angle_gamma 90.00
_space_group_name_H-M_alt 'F -4 3 m'
_space_group_IT_number 216
_space_group_name_Hall 'F -4 2 3'
loop_
_atom_site_label
_atom_site_type_symbol
_atom_site_fract_x
_atom_site_fract_y
_atom_site_fract_z
Na1 Na 0.0000 0.0000 0.0000
La1 La 0.2500 0.2500 0.7500
Nd1 Nd 0.2500 0.2500 0.2500
Ge1 Ge 0.0000 0.0000 0.5000
```

VASP energy (eV/atom): -4.19
ΔH_f (0 K) (kJ per mole of atoms): -27.1


Entry 3:
Density functional theory data (PBE) for crystalline ErPaAu4 at its relaxed geometry.

The structure in CIF format:
```
data_ErPaAu4
_chemical_formula_sum 'Er2 Pa2 Au8'
_cell_length_a 9.9422
_cell_length_b 3.6134
_cell_length_c 7.7633
_cell_angle_alpha 90.00
_cell_angle_beta 112.63
_cell_angle_gamma 90.00
_space_group_name_H-M_alt 'C 1 2/m 1'
_space_group_IT_number 12
loop_
_space_group_symop_operation_xyz
'x,y,z'
'-x,-y,-z'
'-x,y,-z'
'x,-y,z'
'x+1/2,y+1/2,z'
'-x+1/2,-y+1/2,-z'
'-x+1/2,y+1/2,-z'
'x+1/2,-y+1/2,z'
loop_
_atom_site_label
_atom_site_type_symbol
_atom_site_fract_x
_atom_site_fract_y
_atom_site_fract_z
Er1 Er 0.0000 0.0000 0.0000
Pa1 Pa 0.0000 0.0000 0.5000
Au1 Au 0.1646 0.5000 0.3271
Au2 Au 0.1669 0.5000 0.8369
```

VASP energy (eV/atom): -5.14
ΔH_f (0 K) (kJ per mole of atoms): -59.0


Entry 4:
Density functional theory data (PBE) for crystalline ZnCo2Br at its relaxed geometry.

The structure in CIF format:
```
data_ZnCo2Br
_chemical_formula_sum 'Zn4 Co8 Br4'
_cell_length_a 6.2030
_cell_length_b 6.2030
_cell_length_c 6.2030
_cell_angle_alpha 90.00
_cell_angle_beta 90.00
_cell_angle_gamma 90.00
_space_group_name_H-M_alt 'F -4 3 m'
_space_group_IT_number 216
_space_group_name_Hall 'F -4 2 3'
loop_
_atom_site_label
_atom_site_type_symbol
_atom_site_fract_x
_atom_site_fract_y
_atom_site_fract_z
Zn1 Zn 0.0000 0.0000 0.0000
Co1 Co 0.0000 0.0000 0.5000
Co2 Co 0.2500 0.2500 0.2500
Br1 Br 0.2500 0.2500 0.7500
```

Formation energy from raw total energies (meV per atom): 801
VASP energy (eV/atom): -3.49
Offset from the most stable computed form (eV/f.u.): 2.12


Entry 5:
Density functional theory data (PBE) for crystalline CeAlCuHg at its relaxed geometry.

The structure in CIF format:
```
data_CeAlCuHg
_chemical_formula_sum 'Ce4 Al4 Cu4 Hg4'
_cell_length_a 6.9264
_cell_length_b 6.9264
_cell_length_c 6.9264
_cell_angle_alpha 90.00
_cell_angle_beta 90.00
_cell_angle_gamma 90.00
_space_group_name_H-M_alt 'F -4 3 m'
_space_group_IT_number 216
_space_group_name_Hall 'F -4 2 3'
loop_
_atom_site_label
_atom_site_type_symbol
_atom_site_fract_x
_atom_site_fract_y
_atom_site_fract_z
Ce1 Ce 0.0000 0.0000 0.0000
Al1 Al 0.0000 0.0000 0.5000
Cu1 Cu 0.2500 0.2500 0.2500
Hg1 Hg 0.2500 0.2500 0.7500
```

VASP energy (eV/atom): -3.73
ΔH_f (0 K) (kJ per mole of atoms): -19.9


Entry 6:
Density functional theory data (PBE) for crystalline SmTaCo2 at its relaxed geometry.

The structure in CIF format:
```
data_SmTaCo2
_chemical_formula_sum 'Sm1 Ta1 Co2'
_cell_length_a 3.1032
_cell_length_b 3.1032
_cell_length_c 7.0074
_cell_angle_alpha 90.00
_cell_angle_beta 90.00
_cell_angle_gamma 90.00
_space_group_name_H-M_alt 'P 4/m m m'
_space_group_IT_number 123
_space_group_name_Hall '-P 4 2'
loop_
_atom_site_label
_atom_site_type_symbol
_atom_site_fract_x
_atom_site_fract_y
_atom_site_fract_z
Sm1 Sm 0.0000 0.0000 0.0000
Ta1 Ta 0.0000 0.0000 0.5000
Co1 Co 0.5000 0.5000 0.3069
```

VASP energy (eV/atom): -7.80
ΔH_f (0 K) (kJ per mole of atoms): -9.8


Entry 7:
Density functional theory data (PBE) for crystalline RbCO2 at its relaxed geometry.

The structure in CIF format:
```
data_RbCO2
_chemical_formula_sum 'Rb8 C8 O16'
_cell_length_a 6.4788
_cell_length_b 10.6501
_cell_length_c 8.3454
_cell_angle_alpha 90.00
_cell_angle_beta 97.66
_cell_angle_gamma 90.00
_space_group_name_H-M_alt 'P 1 21/c 1'
_space_group_IT_number 14
loop_
_space_group_symop_operation_xyz
'x,y,z'
'-x,-y,-z'
'-x,y+1/2,-z+1/2'
'x,-y+1/2,z+1/2'
loop_
_atom_site_label
_atom_site_type_symbol
_atom_site_fract_x
_atom_site_fract_y
_atom_site_fract_z
Rb1 Rb 0.2164 0.2054 0.0200
Rb2 Rb 0.2693 0.5841 0.1659
C1 C 0.1870 0.5546 0.7729
C2 C 0.3331 0.6066 0.6585
O1 O 0.0406 0.6262 0.8048
O2 O 0.2247 0.0557 0.3297
O3 O 0.2744 0.5977 0.5076
O4 O 0.4983 0.1565 0.7740
```

Formation energy from raw total energies (meV per atom): -1549
VASP energy (eV/atom): -6.58


Entry 8:
Density functional theory data (PBE) for crystalline La2Tb2Mg at its relaxed geometry.

The structure in CIF format:
```
data_La2Tb2Mg
_chemical_formula_sum 'La4 Tb4 Mg2'
_cell_length_a 4.4661
_cell_length_b 4.4661
_cell_length_c 18.0697
_cell_angle_alpha 90.00
_cell_angle_beta 90.00
_cell_angle_gamma 90.00
_space_group_name_H-M_alt 'I 4/m m m'
_space_group_IT_number 139
_space_group_name_Hall '-I 4 2'
loop_
_atom_site_label
_atom_site_type_symbol
_atom_site_fract_x
_atom_site_fract_y
_atom_site_fract_z
La1 La 0.0000 0.0000 0.0913
Tb1 Tb 0.0000 0.5000 0.2500
Mg1 Mg 0.0000 0.0000 0.5000
```

VASP energy (eV/atom): -3.81
ΔH_f (0 K) (kJ per mole of atoms): 32.3
Offset from the most stable computed form (eV/f.u.): 1.76


Entry 9:
Density functional theory data (PBE) for crystalline CsEr2Cl7 at its relaxed geometry.

The structure in CIF format:
```
data_CsEr2Cl7
_chemical_formula_sum 'Cs4 Er8 Cl28'
_cell_length_a 14.4264
_cell_length_b 6.9652
_cell_length_c 12.6246
_cell_angle_alpha 90.00
_cell_angle_beta 90.00
_cell_angle_gamma 90.00
_space_group_name_H-M_alt 'P n m a'
_space_group_IT_number 62
loop_
_space_group_symop_operation_xyz
'x,y,z'
'-x,-y,-z'
'-x+1/2,-y,z+1/2'
'x+1/2,y,-z+1/2'
'x+1/2,-y+1/2,-z+1/2'
'-x+1/2,y+1/2,z+1/2'
'-x,y+1/2,-z'
'x,-y+1/2,z'
loop_
_atom_site_label
_atom_site_type_symbol
_atom_site_fract_x
_atom_site_fract_y
_atom_site_fract_z
Cs1 Cs 0.0306 0.2500 0.2067
Er1 Er 0.2437 0.2500 0.5509
Er2 Er 0.2476 0.2500 0.8542
Cl1 Cl 0.1189 0.7500 0.2016
Cl2 Cl 0.1360 0.0099 0.4360
Cl3 Cl 0.1377 0.0098 0.9694
Cl4 Cl 0.1818 0.0120 0.7031
```

Formation energy from raw total energies (meV per atom): -2270
VASP energy (eV/atom): -4.56
Offset from the most stable computed form (eV/f.u.): 0.00


Entry 10:
Density functional theory data (PBE) for crystalline ErHfHgAu at its relaxed geometry.

The structure in CIF format:
```
data_ErHfHgAu
_chemical_formula_sum 'Er4 Hf4 Hg4 Au4'
_cell_length_a 7.0686
_cell_length_b 7.0686
_cell_length_c 7.0686
_cell_angle_alpha 90.00
_cell_angle_beta 90.00
_cell_angle_gamma 90.00
_space_group_name_H-M_alt 'F -4 3 m'
_space_group_IT_number 216
_space_group_name_Hall 'F -4 2 3'
loop_
_atom_site_label
_atom_site_type_symbol
_atom_site_fract_x
_atom_site_fract_y
_atom_site_fract_z
Er1 Er 0.0000 0.0000 0.0000
Hf1 Hf 0.0000 0.0000 0.5000
Hg1 Hg 0.2500 0.2500 0.7500
Au1 Au 0.2500 0.2500 0.2500
```

VASP energy (eV/atom): -4.89
ΔH_f (0 K) (kJ per mole of atoms): -35.4


- VASP energy of number 7 (RbCO2)?
  -6.58 eV/atom